Density functional theory data (PBE) for crystalline GdThInRu at its relaxed geometry.

The space group is F-43m (No. 216) and the conventional cell measures 7.343, 7.343 and 7.343 Å, with angles of 90.00, 90.00 and 90.00 degrees. The inequivalent atoms are Gd at (0.000, 0.000, 0.000), Th at (0.000, 0.000, 0.500), In at (0.250, 0.250, 0.750) and Ru at (0.250, 0.250, 0.250).

For the magnetic moment, the calculation gives 1.7501 μB per atom. For the uncorrected energy, the calculation gives -8.587 eV per atom.

Density functional theory data (PBE) for crystalline BeAl2Hg at its relaxed geometry.

The space group is Pmm2 (No. 25) and the conventional cell measures 2.761, 3.828 and 6.404 Å, with angles of 90.00, 90.00 and 90.00 degrees. The inequivalent atoms are Be at (0.000, 0.000, 0.000), Al at (0.000, 0.000, 0.593), Al at (0.500, 0.500, 0.844) and Hg at (0.500, 0.500, 0.291).

For the energy above the most stable polymorph in this dataset, the calculation gives 0.037 eV per atom. For the magnetic moment, the calculation gives 0.0000 μB per atom.

Density functional theory data (PBE) for crystalline Pm3HoPd3 at its relaxed geometry.

The space group is C2/m (No. 12) and the conventional cell measures 9.390, 10.639 and 7.225 Å, with angles of 90.00, 91.92 and 90.00 degrees. The inequivalent atoms are Pm at (0.000, 0.176, 0.000), Pm at (0.000, 0.254, 0.500), Pm at (0.153, 0.500, 0.870), Ho at (0.245, 0.500, 0.375), Pd at (0.063, 0.000, 0.313) and Pd at (0.239, 0.262, 0.218).

For the magnetic moment, the calculation gives 0.0000 μB per atom. For the uncorrected energy, the calculation gives -5.555 eV per atom.

Density functional theory data (PBE) for crystalline LiIrBr2 at its relaxed geometry.

The space group is Imm2 (No. 44) and the conventional cell measures 3.423, 3.523 and 15.673 Å, with angles of 90.00, 90.00 and 90.00 degrees. The inequivalent atoms are Li at (0.000, 0.000, 0.000), Ir at (0.000, 0.500, 0.327), Br at (0.000, 0.000, 0.534) and Br at (0.000, 0.500, 0.780).

Its energy relative to the elements, uncorrected is -1.8 kJ per mole of atoms. For the energy above the most stable polymorph in this dataset, the calculation gives 0.300 eV per atom. For the magnetic moment, the calculation gives 0.0000 μB per atom.

Density functional theory data (PBE) for crystalline Tb2DyTmSe4 at its relaxed geometry.

The space group is P2/m (No. 10) and the conventional cell measures 7.077, 4.019 and 7.086 Å, with angles of 90.00, 108.83 and 90.00 degrees. The inequivalent atoms are Tb at (0.000, 0.000, 0.000), Tb at (0.500, 0.500, 0.000), Dy at (0.000, 0.500, 0.500), Tm at (0.500, 0.000, 0.500), Se at (0.251, 0.000, 0.746) and Se at (0.255, 0.500, 0.256).

Its energy relative to the elements, uncorrected is -167.6 kJ per mole of atoms. For the magnetic moment, the calculation gives 0.0000 μB per atom.

Density functional theory data (PBE) for crystalline K3YW at its relaxed geometry.

The space group is Pm-3m (No. 221) and the conventional cell measures 6.638, 6.638 and 6.638 Å, with angles of 90.00, 90.00 and 90.00 degrees. The inequivalent atoms are K at (0.000, 0.000, 0.500), Y at (0.500, 0.500, 0.500) and W at (0.000, 0.000, 0.000).

For the energy above the most stable polymorph in this dataset, the calculation gives 0.000 eV per atom. For the magnetic moment, the calculation gives 1.3817 μB per atom.

Density functional theory data (PBE) for crystalline ZrBSb at its relaxed geometry.

The space group is C2/m (No. 12) and the conventional cell measures 6.573, 3.699 and 10.260 Å, with angles of 90.00, 107.89 and 90.00 degrees. The inequivalent atoms are Zr at (0.178, 0.000, 0.342), B at (0.109, 0.000, 0.559) and Sb at (0.100, 0.500, 0.884).

Its energy relative to the elements, uncorrected is -11.7 kJ per mole of atoms. For the magnetic moment, the calculation gives 0.0000 μB per atom.

Density functional theory data (PBE) for crystalline DyThTe2Se at its relaxed geometry.

The space group is P4/nmm (No. 129, origin choice 2) and the conventional cell measures 4.446, 4.446 and 14.951 Å, with angles of 90.00, 90.00 and 90.00 degrees. The inequivalent atoms are Dy at (0.250, 0.250, 0.085), Th at (0.250, 0.250, 0.628), Te at (0.250, 0.250, 0.293), Te at (0.250, 0.250, 0.878) and Se at (0.250, 0.750, 0.500).

Its energy relative to the elements, uncorrected is -131.6 kJ per mole of atoms. For the magnetic moment, the calculation gives 0.0000 μB per atom.